Record 1
Pm2Cu, relaxed, DFT GGA-PBE; DOS(E_F) = 3.91 states/eV/f.u.; energy above the most stable polymorph in this dataset = 17.3 meV per atom; E_form = -79.7 meV per atom; symmetry = No. 139; magnetic moment = 0.0 μB/cell
1.0
-1.993 -2.165 2.035
2.645 -2.409 0.027
2.057 4.965 4.148
Pm Cu
2 1
direct
0.139 0.139 0.278 Pm
0.861 0.861 0.722 Pm
0.500 0.500 0.000 Cu

Record 2
PmCu11, relaxed, DFT GGA-PBE; DOS(E_F) = 4.02 states/eV/f.u.; E_form = -81.9 meV per atom; symmetry = No. 141; magnetic moment = 0.0 μB/cell
1.0
5.987 0.000 2.730
2.993 7.098 1.365
0.048 0.000 7.823
Pm Cu
2 22
direct
0.500 0.000 0.000 Pm
0.250 0.500 0.500 Pm
0.681 0.584 0.170 Cu
0.736 0.830 0.584 Cu
0.601 0.330 0.084 Cu
0.315 0.084 0.670 Cu
0.435 0.416 0.830 Cu
0.736 0.584 0.830 Cu
0.875 0.750 0.250 Cu
0.149 0.170 0.416 Cu
0.069 0.330 0.916 Cu
0.435 0.830 0.416 Cu
0.069 0.916 0.330 Cu
0.875 0.250 0.750 Cu
0.875 0.250 0.250 Cu
0.315 0.670 0.084 Cu
0.014 0.670 0.916 Cu
0.601 0.084 0.330 Cu
0.014 0.916 0.670 Cu
0.681 0.170 0.584 Cu
0.375 0.750 0.750 Cu
0.750 0.500 0.500 Cu
0.000 0.000 0.000 Cu
0.149 0.416 0.170 Cu

Record 3
PmCu3, relaxed, DFT GGA-PBE; DOS(E_F) = 3.28 states/eV/f.u.; energy above the most stable polymorph in this dataset = 58.6 meV per atom; E_form = -123.5 meV per atom; symmetry = No. 194; magnetic moment = 0.0 μB/cell
1.0
6.176 0.000 0.000
-3.088 5.349 0.000
0.000 0.000 4.324
Cu Pm
6 2
direct
0.729 0.865 0.250 Cu
0.135 0.865 0.250 Cu
0.271 0.135 0.750 Cu
0.865 0.729 0.750 Cu
0.135 0.271 0.250 Cu
0.865 0.135 0.750 Cu
0.667 0.333 0.250 Pm
0.333 0.667 0.750 Pm

Record 4
PmCu3, relaxed, DFT GGA-PBE; DOS(E_F) = 2.40 states/eV/f.u.; energy above the most stable polymorph in this dataset = 157.9 meV per atom; E_form = -24.2 meV per atom; symmetry = No. 225; magnetic moment = 0.0 μB/cell
1.0
-1.914 4.202 0.183
-3.673 0.982 -2.626
-4.150 0.566 1.952
Pm Cu
1 3
direct
0.500 0.500 0.500 Pm
0.250 0.250 0.250 Cu
0.000 0.000 0.000 Cu
0.750 0.750 0.750 Cu

Record 5
PmCu3, relaxed, DFT GGA-PBE; DOS(E_F) = 1.81 states/eV/f.u.; energy above the most stable polymorph in this dataset = 490.6 meV per atom; E_form = 308.5 meV per atom; symmetry = No. 139; magnetic moment = 0.0 μB/cell
1.0
3.828 0.000 0.000
0.000 3.828 0.000
-1.914 -1.914 5.287
Cu Pm
3 1
direct
0.278 0.278 0.555 Cu
0.500 0.500 0.000 Cu
0.722 0.722 0.445 Cu
0.000 0.000 0.000 Pm

Record 6
Pm7Cu3, relaxed, DFT GGA-PBE; DOS(E_F) = 11.85 states/eV/f.u.; E_form = -87.7 meV per atom; symmetry = No. 186; magnetic moment = 0.0 μB/cell
1.0
6.316 0.000 0.000
0.000 8.746 -5.050
0.000 0.000 10.099
Pm Cu
14 6
direct
0.619 0.333 0.667 Pm
0.131 0.076 0.538 Pm
0.934 0.254 0.127 Pm
0.934 0.873 0.746 Pm
0.434 0.127 0.254 Pm
0.631 0.538 0.076 Pm
0.119 0.667 0.333 Pm
0.434 0.746 0.873 Pm
0.631 0.924 0.462 Pm
0.934 0.873 0.127 Pm
0.434 0.127 0.873 Pm
0.631 0.538 0.462 Pm
0.131 0.462 0.538 Pm
0.131 0.462 0.924 Pm
0.865 0.619 0.810 Cu
0.365 0.810 0.619 Cu
0.365 0.381 0.190 Cu
0.865 0.190 0.810 Cu
0.365 0.810 0.190 Cu
0.865 0.190 0.381 Cu

Record 7
PmCu3, relaxed, DFT GGA-PBE; DOS(E_F) = 1.82 states/eV/f.u.; energy above the most stable polymorph in this dataset = 0.0 meV per atom; E_form = -182.1 meV per atom; symmetry = No. 63; magnetic moment = 0.0 μB/cell
1.0
-3.327 -2.193 1.362
4.325 -0.667 2.982
-1.843 5.174 3.829
Cu Pm
6 2
direct
0.870 0.740 0.062 Cu
0.870 0.740 0.438 Cu
0.709 0.417 0.750 Cu
0.291 0.583 0.250 Cu
0.130 0.260 0.938 Cu
0.130 0.260 0.562 Cu
0.417 0.833 0.750 Pm
0.583 0.167 0.250 Pm

Record 8
PmCu12, relaxed, DFT GGA-PBE; DOS(E_F) = 5.33 states/eV/f.u.; E_form = -71.8 meV per atom; symmetry = No. 139; magnetic moment = 0.0 μB/cell
1.0
4.871 0.000 0.000
2.436 6.018 0.000
2.436 0.000 6.018
Cu Pm
12 1
direct
0.500 0.500 0.000 Cu
0.500 0.000 0.500 Cu
0.500 0.774 0.226 Cu
0.500 0.226 0.774 Cu
0.000 0.000 0.500 Cu
0.000 0.644 0.356 Cu
0.644 0.356 0.356 Cu
0.726 0.774 0.774 Cu
0.000 0.356 0.644 Cu
0.356 0.644 0.644 Cu
0.274 0.226 0.226 Cu
0.000 0.500 0.000 Cu
0.000 0.000 0.000 Pm

Record 9
Pm3Cu11, relaxed, DFT GGA-PBE; DOS(E_F) = 5.86 states/eV/f.u.; E_form = -170.7 meV per atom; symmetry = No. 71; magnetic moment = 0.0 μB/cell
1.0
4.059 0.000 1.138
1.296 7.108 3.188
-0.023 -0.272 7.892
Cu Pm
11 3
direct
0.880 0.840 0.401 Cu
0.674 0.680 0.972 Cu
0.674 0.972 0.680 Cu
0.880 0.401 0.840 Cu
0.500 0.290 0.710 Cu
0.326 0.028 0.320 Cu
0.500 0.710 0.290 Cu
0.326 0.320 0.028 Cu
0.120 0.599 0.160 Cu
0.000 0.500 0.500 Cu
0.120 0.160 0.599 Cu
0.694 0.306 0.306 Pm
0.000 0.000 0.000 Pm
0.306 0.694 0.694 Pm

Record 10
Pm3Cu2, relaxed, DFT GGA-PBE; DOS(E_F) = 4.27 states/eV/f.u.; energy above the most stable polymorph in this dataset = 5.6 meV per atom; E_form = -123.2 meV per atom; symmetry = No. 139; magnetic moment = 0.0 μB/cell
1.0
3.569 0.000 0.000
0.000 3.569 0.000
-1.784 -1.784 9.847
Cu Pm
2 3
direct
0.410 0.410 0.821 Cu
0.590 0.590 0.179 Cu
0.000 0.000 0.000 Pm
0.820 0.820 0.640 Pm
0.180 0.180 0.360 Pm

Record 11
PmCu3, relaxed, DFT GGA-PBE; DOS(E_F) = 1.41 states/eV/f.u.; energy above the most stable polymorph in this dataset = 218.0 meV per atom; E_form = 36.0 meV per atom; symmetry = No. 99; magnetic moment = 0.0 μB/cell
1.0
-0.072 -2.622 -2.584
2.369 -2.016 1.980
-4.148 -2.384 2.535
Pm Cu
1 3
direct
0.000 0.500 0.329 Pm
0.500 0.000 0.582 Cu
0.500 0.500 0.878 Cu
0.000 0.000 0.878 Cu

Record 12
Pm2Cu, relaxed, DFT GGA-PBE; DOS(E_F) = 3.34 states/eV/f.u.; energy above the most stable polymorph in this dataset = 0.0 meV per atom; E_form = -97.0 meV per atom; symmetry = No. 123; magnetic moment = 0.0 μB/cell
1.0
-0.184 1.548 -3.233
3.194 -1.399 -0.852
-5.635 -10.114 -4.522
Cu Pm
2 4
direct
0.000 0.000 0.857 Cu
0.000 0.000 0.143 Cu
0.500 0.500 0.000 Pm
0.500 0.500 0.283 Pm
0.000 0.000 0.500 Pm
0.500 0.500 0.717 Pm

Record 13
PmPr2Cu, relaxed, DFT GGA-PBE; DOS(E_F) = 4.36 states/eV/f.u.; energy above the most stable polymorph in this dataset = 0.0 meV per atom; E_form = -53.7 meV per atom; symmetry = No. 62; magnetic moment = 0.0 μB/cell
1.0
-5.213 -3.996 -0.789
2.555 -4.321 5.006
-5.108 5.253 7.141
Cu Pr Pm
4 8 4
direct
0.434 0.897 0.250 Cu
0.566 0.103 0.750 Cu
0.066 0.397 0.250 Cu
0.934 0.603 0.750 Cu
0.827 0.306 0.941 Pr
0.173 0.694 0.059 Pr
0.173 0.694 0.441 Pr
0.327 0.194 0.441 Pr
0.827 0.306 0.559 Pr
0.673 0.806 0.559 Pr
0.673 0.806 0.941 Pr
0.327 0.194 0.059 Pr
0.643 0.524 0.250 Pm
0.143 0.976 0.750 Pm
0.357 0.476 0.750 Pm
0.857 0.024 0.250 Pm

Record 14
Pm4PrCu, relaxed, DFT GGA-PBE; DOS(E_F) = 8.30 states/eV/f.u.; E_form = -32.2 meV per atom; symmetry = No. 123; magnetic moment = 0.0 μB/cell
1.0
3.641 0.000 0.000
0.000 3.641 0.000
0.000 0.000 13.965
Pm Cu Pr
4 1 1
direct
0.000 0.000 0.377 Pm
0.000 0.000 0.623 Pm
0.500 0.500 0.813 Pm
0.500 0.500 0.187 Pm
0.500 0.500 0.500 Cu
0.000 0.000 0.000 Pr

Record 15
Pm2PrCu2, relaxed, DFT GGA-PBE; DOS(E_F) = 4.95 states/eV/f.u.; energy above the most stable polymorph in this dataset = 0.0 meV per atom; E_form = -86.5 meV per atom; symmetry = No. 63; magnetic moment = 0.0 μB/cell
1.0
3.599 0.000 -0.481
0.000 5.234 0.000
-0.021 0.000 13.481
Pm Pr Cu
4 2 4
direct
0.048 0.750 0.094 Pm
0.770 0.250 0.540 Pm
0.230 0.750 0.460 Pm
0.952 0.250 0.906 Pm
0.141 0.250 0.282 Pr
0.859 0.750 0.718 Pr
0.360 0.250 0.721 Cu
0.640 0.750 0.279 Cu
0.456 0.750 0.912 Cu
0.544 0.250 0.088 Cu

Record 16
Pm3PrCu2, relaxed, DFT GGA-PBE; DOS(E_F) = 6.57 states/eV/f.u.; E_form = -98.3 meV per atom; symmetry = No. 123; magnetic moment = 0.0 μB/cell
1.0
3.594 0.000 0.000
0.000 3.594 0.000
0.000 0.000 12.516
Pr Pm Cu
1 3 2
direct
0.500 0.500 0.500 Pr
0.000 0.000 0.720 Pm
0.000 0.000 0.000 Pm
0.000 0.000 0.280 Pm
0.500 0.500 0.143 Cu
0.500 0.500 0.857 Cu

Record 17
Pm2PrCu3, relaxed, DFT GGA-PBE; DOS(E_F) = 4.14 states/eV/f.u.; energy above the most stable polymorph in this dataset = 5.1 meV per atom; E_form = -146.0 meV per atom; symmetry = No. 65; magnetic moment = 0.0 μB/cell
1.0
2.525 -7.578 0.000
2.525 7.578 0.000
0.000 0.000 7.241
Pm Cu Pr
4 6 2
direct
0.000 0.000 0.500 Pm
0.333 0.667 0.500 Pm
0.667 0.333 0.500 Pm
0.000 0.000 0.000 Pm
0.835 0.165 0.257 Cu
0.500 0.500 0.256 Cu
0.165 0.835 0.743 Cu
0.165 0.835 0.257 Cu
0.835 0.165 0.743 Cu
0.500 0.500 0.744 Cu
0.334 0.666 0.000 Pr
0.666 0.334 0.000 Pr

Record 18
Pm2Pr2Cu, relaxed, DFT GGA-PBE; DOS(E_F) = 6.57 states/eV/f.u.; E_form = -44.2 meV per atom; symmetry = No. 139; magnetic moment = 0.0 μB/cell
1.0
3.600 0.000 -0.578
-0.093 3.599 -0.578
0.038 0.039 11.742
Pm Cu Pr
2 1 2
direct
0.575 0.575 0.149 Pm
0.425 0.425 0.851 Pm
0.000 0.000 0.000 Cu
0.808 0.808 0.615 Pr
0.192 0.192 0.385 Pr

Record 19
PmPrCu3, relaxed, DFT GGA-PBE; DOS(E_F) = 4.45 states/eV/f.u.; E_form = -193.1 meV per atom; symmetry = No. 63; magnetic moment = 0.0 μB/cell
1.0
-3.449 2.250 1.390
-1.359 -3.130 1.697
7.110 4.686 10.055
Pm Cu Pr
2 6 2
direct
0.250 0.797 0.593 Pm
0.750 0.203 0.407 Pm
0.750 0.618 0.236 Cu
0.250 0.382 0.764 Cu
0.250 0.477 0.954 Cu
0.750 0.330 0.661 Cu
0.250 0.670 0.339 Cu
0.750 0.523 0.046 Cu
0.250 0.071 0.141 Pr
0.750 0.929 0.859 Pr

Record 20
PmPr2Cu3, relaxed, DFT GGA-PBE; DOS(E_F) = 4.33 states/eV/f.u.; energy above the most stable polymorph in this dataset = 5.0 meV per atom; E_form = -130.7 meV per atom; symmetry = No. 65; magnetic moment = 0.0 μB/cell
1.0
3.538 5.266 -4.917
-6.950 -3.730 1.483
-1.981 5.443 4.404
Pr Cu Pm
4 6 2
direct
0.000 0.000 0.500 Pr
0.666 0.334 0.500 Pr
0.334 0.666 0.500 Pr
0.000 0.000 0.000 Pr
0.500 0.500 0.244 Cu
0.169 0.831 0.243 Cu
0.169 0.831 0.757 Cu
0.831 0.169 0.243 Cu
0.500 0.500 0.756 Cu
0.831 0.169 0.757 Cu
0.333 0.667 0.000 Pm
0.667 0.333 0.000 Pm